# NbPbOF2

A geometry-optimized NbPbOF2 structure (PBE, Alexandria via LeMat-Bulk).

Cell and atoms, written as extended XYZ:
```
5
Lattice="-0.047 4.581 -0.066 -3.167 0.016 3.311 3.284 0.079 3.140" Properties=species:S:1:pos:R:3 pbc="T T T"
O 1.642 0.039 1.570
Pb 0.000 0.000 0.000
F -0.023 2.290 -0.033
F -1.583 0.008 1.656
Nb 0.035 2.338 3.192
```

Its calculated volume is 19.1 A^3/atom. The density of states at the Fermi level is 0.859 states/eV per atom. For the energy, the calculation gives -5.023 eV per atom. The formation energy from raw total energies comes out at -0.527 eV per atom.